Model w:
DFT (GGA-PBE) results for a relaxed Zn2Re2Te crystal.

The total magnetization comes out at 0.000 μB/f.u.

It has space group P4/mbm (No. 127), with a = 7.053 Å, b = 7.053 Å, c = 3.284 Å, α = 90.00°, β = 90.00° and γ = 90.00°. The asymmetric unit holds Zn at (0.121, 0.379, 0.000), Re at (0.174, 0.674, 0.500) and Te at (0.000, 0.000, 0.000).


Model x:
DFT (GGA-PBE) results for a relaxed Zn2Re2Te crystal.

The total magnetization comes out at 0.000 μB/f.u.

It has space group I4/mmm (No. 139), with a = 3.562 Å, b = 3.562 Å, c = 15.526 Å, α = 90.00°, β = 90.00° and γ = 90.00°. The asymmetric unit holds Zn at (0.000, 0.000, 0.112), Re at (0.000, 0.500, 0.250) and Te at (0.000, 0.000, 0.500).


Sorted by energy, starting with the most stable: model x, model w.


Model w:
DFT (GGA-PBE) results for a relaxed ZnRe3Te crystal.

The total magnetization comes out at 2.055 μB/f.u.

It has space group Pm-3m (No. 221), with a = 4.831 Å, b = 4.831 Å, c = 4.831 Å, α = 90.00°, β = 90.00° and γ = 90.00°. The asymmetric unit holds Zn at (0.000, 0.000, 0.000), Re at (0.000, 0.500, 0.500) and Te at (0.500, 0.500, 0.500).


Model x:
DFT (GGA-PBE) results for a relaxed ZnRe3Te crystal.

The total magnetization comes out at 2.258 μB/f.u.

It has space group Pm-3m (No. 221), with a = 4.582 Å, b = 4.582 Å, c = 4.582 Å, α = 90.00°, β = 90.00° and γ = 90.00°. The asymmetric unit holds Zn at (0.000, 0.000, 0.000), Re at (0.000, 0.000, 0.500) and Te at (0.500, 0.500, 0.500).


Sorted by energy, starting with the most stable: model x, model w.


Model w:
DFT (GGA-PBE) results for a relaxed ZrReTe crystal.

The total magnetization comes out at 0.000 μB/f.u.

It has space group F-43m (No. 216), with a = 6.404 Å, b = 6.404 Å, c = 6.404 Å, α = 90.00°, β = 90.00° and γ = 90.00°. The asymmetric unit holds Zr at (0.000, 0.000, 0.000), Re at (0.250, 0.250, 0.750) and Te at (0.000, 0.000, 0.500).


Model x:
DFT (GGA-PBE) results for a relaxed ZrReTe crystal.

The total magnetization comes out at 0.000 μB/f.u.

It has space group I4mm (No. 107), with a = 3.290 Å, b = 3.290 Å, c = 11.050 Å, α = 90.00°, β = 90.00° and γ = 90.00°. The asymmetric unit holds Zr at (0.000, 0.000, 0.000), Re at (0.000, 0.000, 0.345) and Te at (0.000, 0.000, 0.700).


Sorted by energy, starting with the most stable: model w, model x.


Model w:
DFT (GGA-PBE) results for a relaxed ZrReTe crystal.

The total magnetization comes out at 0.000 μB/f.u.

It has space group P3m1 (No. 156), with a = 4.5821 Å, b = 4.5821 Å, c = 3.2517 Å, α = 90.00°, β = 90.00° and γ = 120.00°. The asymmetric unit holds Zr at (0.0000, 0.0000, 0.0000), Re at (0.6667, 0.3333, 0.4499) and Te at (0.3333, 0.6667, 0.4751).


Model x:
DFT (GGA-PBE) results for a relaxed ZrReTe crystal.

The total magnetization comes out at 0.000 μB/f.u.

It has space group P3m1 (No. 156), with a = 3.3568 Å, b = 3.3568 Å, c = 6.5437 Å, α = 90.00°, β = 90.00° and γ = 120.00°. The asymmetric unit holds Zr at (0.0000, 0.0000, 0.0000), Re at (0.6667, 0.3333, 0.2864) and Te at (0.3333, 0.6667, 0.6188).


Sorted by energy, starting with the most stable: model w, model x.


Model w:
DFT (GGA-PBE) results for a relaxed Zr3ReTe crystal.

The total magnetization comes out at 1.877 μB/f.u.

It has space group Pm-3m (No. 221), with a = 5.155 Å, b = 5.155 Å, c = 5.155 Å, α = 90.00°, β = 90.00° and γ = 90.00°. The asymmetric unit holds Zr at (0.000, 0.000, 0.500), Re at (0.500, 0.500, 0.500) and Te at (0.000, 0.000, 0.000).


Model x:
DFT (GGA-PBE) results for a relaxed Zr3ReTe crystal.

The total magnetization comes out at 0.000 μB/f.u.

It has space group Pm-3m (No. 221), with a = 5.095 Å, b = 5.095 Å, c = 5.095 Å, α = 90.00°, β = 90.00° and γ = 90.00°. The asymmetric unit holds Zr at (0.000, 0.000, 0.500), Re at (0.000, 0.000, 0.000) and Te at (0.500, 0.500, 0.500).


Sorted by energy, starting with the most stable: model x, model w.


Model w:
DFT (GGA-PBE) results for a relaxed ThRe6 crystal.

The total magnetization comes out at 0.000 μB/f.u.

It has space group Pnma (No. 62), with a = 8.621 Å, b = 5.305 Å, c = 10.877 Å, α = 90.00°, β = 90.00° and γ = 90.00°. The asymmetric unit holds Th at (0.228, 0.250, 0.054), Re at (0.069, 0.008, 0.307), Re at (0.087, 0.250, 0.524), Re at (0.092, 0.750, 0.081), Re at (0.147, 0.750, 0.845) and Re at (0.184, 0.250, 0.759).


Model x:
DFT (GGA-PBE) results for a relaxed ThRe6 crystal.

The total magnetization comes out at 0.000 μB/f.u.

It has space group Im-3m (No. 229), with a = 6.881 Å, b = 6.881 Å, c = 6.881 Å, α = 90.00°, β = 90.00° and γ = 90.00°. The asymmetric unit holds Th at (0.000, 0.000, 0.000) and Re at (0.000, 0.250, 0.500).


Sorted by energy, starting with the most stable: model w, model x.


Model w:
DFT (GGA-PBE) results for a relaxed Th2TlRe crystal.

The total magnetization comes out at 0.000 μB/f.u.

It has space group P4/mmm (No. 123), with a = 3.472 Å, b = 3.472 Å, c = 8.883 Å, α = 90.00°, β = 90.00° and γ = 90.00°. The asymmetric unit holds Th at (0.000, 0.000, 0.203), Tl at (0.500, 0.500, 0.500) and Re at (0.500, 0.500, 0.000).


Model x:
DFT (GGA-PBE) results for a relaxed Th2TlRe crystal.

The total magnetization comes out at 0.000 μB/f.u.

It has space group R-3m (No. 166, hexagonal axes), with a = 4.1684 Å, b = 4.1684 Å, c = 24.3686 Å, α = 90.00°, β = 90.00° and γ = 120.00°. The asymmetric unit holds Th at (0.0000, 0.0000, 0.2285), Tl at (0.0000, 0.0000, 0.0000) and Re at (0.0000, 0.0000, 0.5000).


Sorted by energy, starting with the most stable: model w, model x.


Model w:
DFT (GGA-PBE) results for a relaxed Th3TlRe crystal.

The total magnetization comes out at 0.000 μB/f.u.

It has space group Fmmm (No. 69), with a = 6.623 Å, b = 10.346 Å, c = 17.055 Å, α = 90.00°, β = 90.00° and γ = 90.00°. The asymmetric unit holds Th at (0.000, 0.000, 0.193), Th at (0.000, 0.178, 0.381), Tl at (0.216, 0.000, 0.000) and Re at (0.250, 0.250, 0.250).


Model x:
DFT (GGA-PBE) results for a relaxed Th3TlRe crystal.

The total magnetization comes out at 0.000 μB/f.u.

It has space group Cmmm (No. 65), with a = 7.878 Å, b = 14.635 Å, c = 5.369 Å, α = 90.00°, β = 90.00° and γ = 90.00°. The asymmetric unit holds Th at (0.000, 0.127, 0.000), Th at (0.196, 0.500, 0.500), Th at (0.250, 0.250, 0.500), Tl at (0.000, 0.369, 0.000) and Re at (0.000, 0.108, 0.500).


Sorted by energy, starting with the most stable: model w, model x.